A geometry-optimized K4LaU3S12 structure. Source: the Alexandria database, functional PBE.

Lattice parameters (Å, degrees): 9.109 9.109 9.109 109.47 109.47 109.47
Last column: magnetic moment on the atom in μB.
Atoms (fractional coordinates):
K1 0.500 0.500 0.500  0.00
K2 0.000 0.000 0.500  0.00
K3 0.500 0.000 0.000  0.00
K4 0.000 0.500 0.000  0.00
La1 0.000 0.000 0.000  -0.01
U1 0.500 0.000 0.500  0.48
U2 0.500 0.500 0.000  0.48
U3 0.000 0.500 0.500  0.48
S1 0.250 0.500 0.750  -0.03
S2 0.735 0.000 0.735  -0.02
S3 0.265 0.000 0.265  -0.02
S4 0.750 0.500 0.250  -0.03
S5 0.735 0.735 0.000  -0.02
S6 0.265 0.265 0.000  -0.02
S7 0.750 0.250 0.500  -0.03
S8 0.250 0.750 0.500  -0.03
S9 0.500 0.250 0.750  -0.03
S10 0.000 0.735 0.735  -0.02
S11 0.500 0.750 0.250  -0.03
S12 0.000 0.265 0.265  -0.02

Calculated values
Theoretical density = 4.0 Mg/m³
Formation energy (no corrections) = -2634 kJ/mol of formula units